Density functional theory data (GGA+U) for a relaxed K2NdV3F12 crystal.

```
data_K2NdV3F12
_cell_length_a 7.2181
_cell_length_b 7.2181
_cell_length_c 7.2181
_cell_angle_alpha 64.61
_cell_angle_beta 64.61
_cell_angle_gamma 64.61
_space_group_name_H-M_alt 'P 1'
_space_group_IT_number 1
loop_
_space_group_symop_operation_xyz
'x,y,z'
loop_
_atom_site_label
_atom_site_fract_x
_atom_site_fract_y
_atom_site_fract_z
K1 0.1213 0.1213 0.1213
K2 0.8787 0.8787 0.8787
Nd1 0.5000 0.5000 0.5000
V1 0.0000 0.5000 0.5000
V2 0.5000 0.0000 0.5000
V3 0.5000 0.5000 0.0000
F1 0.1138 0.6238 0.6238
F2 0.2248 0.2248 0.6060
F3 0.2248 0.6060 0.2248
F4 0.3762 0.3762 0.8862
F5 0.3762 0.8862 0.3762
F6 0.3940 0.7752 0.7752
F7 0.6060 0.2248 0.2248
F8 0.6238 0.1138 0.6238
F9 0.6238 0.6238 0.1138
F10 0.7752 0.3940 0.7752
F11 0.7752 0.7752 0.3940
F12 0.8862 0.3762 0.3762
```

Properties
Total moment = 8.00 μB per formula unit
Space group = No. 166
Final energy = -5.91 eV per atom